Below is crystalline Li2LaYPt at its relaxed geometry, with properties calculated at the PBE-GGA level.

Output
E_form (meV per atom): 1083
Magnetization (μB/cell): 0.00

Cell: 4.906 4.906 5.636 Å, 90.00 90.00 90.00°
Positions (direct):
1 Li 0.000 0.500 0.000
2 Li 0.500 0.000 0.000
3 La 0.000 0.000 0.500
4 Y 0.000 0.000 0.000
5 Pt 0.500 0.500 0.500